1.
First-principles (PBE) data for Ba3Zn2Sn2Pt4 after structural relaxation, as listed in the Alexandria database.

It has space group P-3m1 (No. 164), with a = 4.5519 Å, b = 4.5519 Å, c = 16.7439 Å, α = 90.00°, β = 90.00° and γ = 120.00°. The asymmetric unit holds Ba at (0.0000, 0.0000, 0.0000), Ba at (0.0000, 0.0000, 0.2714), Zn at (0.3333, 0.6667, 0.1342), Sn at (0.3333, 0.6667, 0.5680), Pt at (0.3333, 0.6667, 0.4050) and Pt at (0.3333, 0.6667, 0.8664).

The value obtained for the energy of formation from the pure elements is -0.66 eV per atom. The value obtained for the calculated total energy is -4.336 eV/atom. The calculation puts the spin magnetization at 0.00 μB/cell.

2.
First-principles (PBE) data for Ba2ZnSnPt6 after structural relaxation, as listed in the Alexandria database.

It has space group C2/m (No. 12), with a = 12.897 Å, b = 5.629 Å, c = 8.839 Å, α = 90.00°, β = 132.70° and γ = 90.00°. The asymmetric unit holds Ba at (0.241, 0.000, 0.292), Zn at (0.000, 0.500, 0.000), Sn at (0.000, 0.000, 0.500), Pt at (0.023, 0.258, 0.773) and Pt at (0.248, 0.500, 0.097).

The value obtained for the energy of formation from the pure elements is -0.60 eV per atom. The value obtained for the calculated total energy is -5.139 eV/atom. The calculation puts the spin magnetization at 0.00 μB/cell.

3.
First-principles (PBE) data for BaZnSnPt2 after structural relaxation, as listed in the Alexandria database.

It has space group I-4m2 (No. 119), with a = 4.525 Å, b = 4.525 Å, c = 11.411 Å, α = 90.00°, β = 90.00° and γ = 90.00°. The asymmetric unit holds Ba at (0.000, 0.000, 0.000), Zn at (0.000, 0.500, 0.250), Sn at (0.000, 0.500, 0.750) and Pt at (0.000, 0.000, 0.378).

The value obtained for the energy of formation from the pure elements is -0.68 eV per atom. The value obtained for the calculated total energy is -4.541 eV/atom. The calculation puts the spin magnetization at 0.00 μB/cell.

4.
First-principles (PBE) data for BaSr2Pt after structural relaxation, as listed in the Alexandria database.

It has space group R-3m (No. 166, hexagonal axes), with a = 4.4096 Å, b = 4.4096 Å, c = 32.2509 Å, α = 90.00°, β = 90.00° and γ = 120.00°. The asymmetric unit holds Ba at (0.0000, 0.0000, 0.0000), Sr at (0.0000, 0.0000, 0.2171) and Pt at (0.0000, 0.0000, 0.5000).

The value obtained for the energy of formation from the pure elements is -0.46 eV per atom. For the excess energy over the best structure of this formula in the dataset, the calculation gives 69 meV per atom. The value obtained for the calculated total energy is -3.288 eV/atom. The calculation puts the spin magnetization at 0.00 μB/cell.

- Among the records above, which one has the lowest calculated total energy?
  Ba2ZnSnPt6